Record 1
An optimized crystal structure of Fe2HgMo. Source: the Alexandria database, functional GGA-PBE.

Lattice parameters (Å, degrees): 3.2394 4.3656 8.6469 90.00 90.00 90.00
Fractional positions:
Fe (0.0000, 0.0000, 0.2332)
Fe (0.0000, 0.0000, 0.7668)
Fe (0.5000, 0.5000, 0.2332)
Fe (0.5000, 0.5000, 0.7668)
Hg (0.0000, 0.5000, 0.5000)
Hg (0.5000, 0.0000, 0.5000)
Mo (0.0000, 0.5000, 0.0000)
Mo (0.5000, 0.0000, 0.0000)

- volume (Å³ per cell) = 122
- ΔE_f (eV/atom) = 0.3735
- final energy (eV/cell) = -53.1
- symmetry = No. 65

=====

Record 2
An optimized crystal structure of Ni3SbS. Source: the Alexandria database, functional GGA-PBE.

Lattice parameters (Å, degrees): 4.2562 4.2562 4.2562 90.00 90.00 90.00
Fractional positions:
Ni (0.0000, 0.0000, 0.5000)
Ni (0.0000, 0.5000, 0.0000)
Ni (0.5000, 0.0000, 0.0000)
Sb (0.5000, 0.5000, 0.5000)
S (0.0000, 0.0000, 0.0000)

- energy relative to the elements, uncorrected (eV/atom) = 0.05
- volume (Å³ per cell) = 77
- final energy (eV/cell) = -25.4
- excess energy over the best structure of this formula in the dataset (meV/atom) = 0
- symmetry = No. 221

=====

Record 3
An optimized crystal structure of K2TeAs. Source: the Alexandria database, functional GGA-PBE.

Lattice parameters (Å, degrees): 6.9595 10.2665 3.3524 90.00 90.00 90.00
Fractional positions:
K (0.2500, 0.2500, 0.0000)
K (0.2500, 0.7500, 0.0000)
K (0.7500, 0.2500, 0.0000)
K (0.7500, 0.7500, 0.0000)
Te (0.0000, 0.0000, 0.5000)
Te (0.5000, 0.5000, 0.5000)
As (0.0000, 0.5000, 0.5000)
As (0.5000, 0.0000, 0.5000)

- energy relative to the elements, uncorrected (eV/atom) = -0.38
- volume (Å³ per cell) = 240
- final energy (eV/cell) = -23.0
- excess energy over the best structure of this formula in the dataset (meV/atom) = 162
- symmetry = No. 65

=====

Record 4
An optimized crystal structure of Pm2Y3Ho9. Source: the Alexandria database, functional GGA-PBE.

Lattice parameters (Å, degrees): 6.4070 8.3901 8.8766 87.73 83.27 71.14
Fractional positions:
Pm (0.0000, 0.0000, 0.0000)
Pm (0.1454, 0.6489, 0.1962)
Y (0.4685, 0.0386, 0.7913)
Y (0.6190, 0.3453, 0.1630)
Y (0.7967, 0.5496, 0.4493)
Ho (0.0746, 0.3887, 0.9481)
Ho (0.1854, 0.1749, 0.2828)
Ho (0.3070, 0.8265, 0.4993)
Ho (0.3420, 0.3938, 0.5418)
Ho (0.5021, 0.5838, 0.8253)
Ho (0.6003, 0.7889, 0.1209)
Ho (0.7496, 0.9868, 0.4123)
Ho (0.9197, 0.1989, 0.6636)
Ho (0.9485, 0.7383, 0.7462)

- volume (Å³ per cell) = 448
- ΔE_f (eV/atom) = 0.0830
- final energy (eV/cell) = -68.9
- symmetry = No. 1

=====

Record 5
An optimized crystal structure of CsPm4Pb5. Source: the Alexandria database, functional GGA-PBE.

Lattice parameters (Å, degrees): 4.1849 4.1849 19.1098 90.00 90.00 90.00
Fractional positions:
Cs (0.0000, 0.0000, 0.0000)
Pm (0.0000, 0.0000, 0.2266)
Pm (0.0000, 0.0000, 0.4098)
Pm (0.0000, 0.0000, 0.5902)
Pm (0.0000, 0.0000, 0.7734)
Pb (0.5000, 0.5000, 0.1460)
Pb (0.5000, 0.5000, 0.3186)
Pb (0.5000, 0.5000, 0.5000)
Pb (0.5000, 0.5000, 0.6814)
Pb (0.5000, 0.5000, 0.8540)

- volume (Å³ per cell) = 335
- ΔE_f (eV/atom) = -0.4084
- final energy (eV/cell) = -42.5
- symmetry = No. 123

=====

Record 6
An optimized crystal structure of Mg3Sb2H2. Source: the Alexandria database, functional GGA-PBE.

Lattice parameters (Å, degrees): 12.7133 3.2655 6.5924 90.00 103.40 90.00
Fractional positions:
Mg (0.0000, 0.0000, 0.0000)
Mg (0.2267, 0.5000, 0.7828)
Mg (0.2733, 0.0000, 0.2172)
Mg (0.5000, 0.5000, 0.0000)
Mg (0.7267, 0.0000, 0.7828)
Mg (0.7733, 0.5000, 0.2172)
Sb (0.0991, 0.5000, 0.3536)
Sb (0.4009, 0.0000, 0.6464)
Sb (0.5991, 0.0000, 0.3536)
Sb (0.9009, 0.5000, 0.6464)
H (0.1724, 0.0000, 0.9106)
H (0.3276, 0.5000, 0.0894)
H (0.6724, 0.5000, 0.9106)
H (0.8276, 0.0000, 0.0894)

- volume (Å³ per cell) = 266
- final energy (eV/cell) = -41.9
- symmetry = No. 12

=====

Record 7
An optimized crystal structure of LiSm2Cd. Source: the Alexandria database, functional GGA-PBE.

Lattice parameters (Å, degrees): 3.4374 3.4374 35.6035 90.00 90.00 120.00
Fractional positions:
Li (0.0000, 0.0000, 0.0000)
Li (0.3333, 0.6667, 0.6667)
Li (0.6667, 0.3333, 0.3333)
Sm (0.0000, 0.0000, 0.0931)
Sm (0.0000, 0.0000, 0.9069)
Sm (0.3333, 0.6667, 0.5736)
Sm (0.3333, 0.6667, 0.7598)
Sm (0.6667, 0.3333, 0.2402)
Sm (0.6667, 0.3333, 0.4264)
Cd (0.0000, 0.0000, 0.5000)
Cd (0.3333, 0.6667, 0.1667)
Cd (0.6667, 0.3333, 0.8333)

- volume (Å³ per cell) = 364
- ΔE_f (eV/atom) = 0.1149
- final energy (eV/cell) = -35.4
- excess energy over the best structure of this formula in the dataset (meV/atom) = 236
- symmetry = No. 166

=====

Record 8
An optimized crystal structure of TaInFeIr. Source: the Alexandria database, functional GGA-PBE.

Lattice parameters (Å, degrees): 6.3301 6.3301 6.3301 90.00 90.00 90.00
Fractional positions:
Ta (0.0000, 0.0000, 0.0000)
Ta (0.0000, 0.5000, 0.5000)
Ta (0.5000, 0.0000, 0.5000)
Ta (0.5000, 0.5000, 0.0000)
In (0.0000, 0.0000, 0.5000)
In (0.0000, 0.5000, 0.0000)
In (0.5000, 0.0000, 0.0000)
In (0.5000, 0.5000, 0.5000)
Fe (0.2500, 0.2500, 0.2500)
Fe (0.2500, 0.7500, 0.7500)
Fe (0.7500, 0.2500, 0.7500)
Fe (0.7500, 0.7500, 0.2500)
Ir (0.2500, 0.2500, 0.7500)
Ir (0.2500, 0.7500, 0.2500)
Ir (0.7500, 0.2500, 0.2500)
Ir (0.7500, 0.7500, 0.7500)

- volume (Å³ per cell) = 254
- ΔE_f (eV/atom) = -0.1671
- final energy (eV/cell) = -130.3
- symmetry = No. 216

=====

Record 9
An optimized crystal structure of TmPaB2. Source: the Alexandria database, functional GGA-PBE.

Lattice parameters (Å, degrees): 3.7203 3.7203 17.8691 90.00 90.00 120.00
Fractional positions:
Tm (0.0000, 0.0000, 0.0000)
Tm (0.3333, 0.6667, 0.6667)
Tm (0.6667, 0.3333, 0.3333)
Pa (0.0000, 0.0000, 0.5000)
Pa (0.3333, 0.6667, 0.1667)
Pa (0.6667, 0.3333, 0.8333)
B (0.0000, 0.0000, 0.2435)
B (0.0000, 0.0000, 0.7565)
B (0.3333, 0.6667, 0.4232)
B (0.3333, 0.6667, 0.9101)
B (0.6667, 0.3333, 0.0899)
B (0.6667, 0.3333, 0.5768)

- volume (Å³ per cell) = 214
- ΔE_f (eV/atom) = 0.1052
- final energy (eV/cell) = -80.7
- symmetry = No. 166

=====

Record 10
An optimized crystal structure of Sc2SiP. Source: the Alexandria database, functional GGA-PBE.

Lattice parameters (Å, degrees): 3.2274 3.4451 6.7676 90.00 103.17 90.00
Fractional positions:
Sc (0.0378, 0.0000, 0.2609)
Sc (0.9622, 0.0000, 0.7391)
Si (0.5000, 0.5000, 0.0000)
P (0.5000, 0.5000, 0.5000)

- energy relative to the elements, uncorrected (eV/atom) = -0.75
- volume (Å³ per cell) = 73
- final energy (eV/cell) = -26.5
- excess energy over the best structure of this formula in the dataset (meV/atom) = 397
- symmetry = No. 10

=====

Record 11
An optimized crystal structure of YbAlCu4. Source: the Alexandria database, functional GGA-PBE.

Lattice parameters (Å, degrees): 5.2009 5.2009 4.0419 90.00 90.00 120.00
Fractional positions:
Yb (0.0000, 0.0000, 0.0000)
Al (0.3333, 0.6667, 0.0000)
Cu (0.5011, 0.0022, 0.5000)
Cu (0.5011, 0.4989, 0.5000)
Cu (0.6667, 0.3333, 0.0000)
Cu (0.9978, 0.4989, 0.5000)

- volume (Å³ per cell) = 95
- ΔE_f (eV/atom) = -0.2383
- final energy (eV/cell) = -23.1
- symmetry = No. 187